Computed, not measured: PdWF2 after structural relaxation at the GGA+U level of DFT.

```
PdWF2
1.0
6.1254 5.8598 6.1926
5.0580 4.0866 8.2416
7.3906 3.2848 6.6930
W F Pd
1 2 1
Direct
0.0000 0.0000 0.0000
0.0603 0.0603 0.0603
0.9397 0.9397 0.9397
0.5000 0.5000 0.5000
```

***

Computed, not measured: PdWF2 after structural relaxation at the GGA+U level of DFT.

```
PdWF2
1.0
0.0000 3.0367 3.0367
3.0367 0.0000 3.0367
3.0367 3.0367 0.0000
F W Pd
2 1 1
Direct
0.2500 0.2500 0.2500
0.7500 0.7500 0.7500
0.5000 0.5000 0.5000
0.0000 0.0000 0.0000
```

***

no.,relative energy among the computed polymorphs (eV/f.u.),magnetic moment (μB per formula unit),E_tot (eV per atom)
1,0.00,0.31,-4.749
2,2.33,3.60,-4.167